(1)
This record from Alexandria via LeMat-Bulk describes a relaxed structure of LiAcMnS3. The functional is GGA-PBE.

Results
formation energy from raw total energies: -1.369 eV/atom
total magnetic moment: 5.000 μB per formula unit
E_tot: -0.438 Ry/atom

a = 7.0503 Å, b = 3.9224 Å, c = 9.9986 Å
α = 90.00°, β = 109.34°, γ = 90.00°
Last column: nearest neighbours and their distance in Å.
Space group P2_1/m (No. 11)
Inequivalent atoms, fractional coordinates:
Li: 0.1544 0.2500 0.1233 (multiplicity 2)  3 S 2.47-2.51
Ac: 0.2811 0.2500 0.7921 (multiplicity 2)  7 S 3.01-3.11
Mn: 0.2949 0.7500 0.3948 (multiplicity 2)  5 S 2.43-2.68
S: 0.0566 0.2500 0.3425 (multiplicity 2)  1 Li 2.51, 2 Mn 2.52
S: 0.2677 0.7500 0.0200 (multiplicity 2)  2 Li 2.47
S: 0.4735 0.7500 0.6480 (multiplicity 2)  3 Mn 2.43-2.68

---

(2)
This record from Alexandria via LeMat-Bulk describes a relaxed structure of LaNd3Cd6. The functional is GGA-PBE.

Results
total magnetic moment: 0.203 μB per formula unit
calculated formation energy: -0.295 eV per atom
E_tot: -0.203 Ry/atom

a = 9.5256 Å, b = 5.3172 Å, c = 11.4330 Å
α = 90.00°, β = 106.66°, γ = 90.00°
Last column: nearest neighbours and their distance in Å.
Space group P2_1/m (No. 11)
Inequivalent atoms, fractional coordinates:
La: 0.0558 0.2500 0.3900 (multiplicity 2)  8 Cd 3.19-3.51
Nd: 0.2337 0.2500 0.0032 (multiplicity 2)  8 Cd 3.19-3.43
Nd: 0.3519 0.7500 0.7890 (multiplicity 2)  8 Cd 3.25-3.43
Nd: 0.4762 0.2500 0.6120 (multiplicity 2)  8 Cd 3.20-3.53
Cd: 0.0554 0.7500 0.9029 (multiplicity 2)  3 Cd 3.18-3.27, 4 Nd 3.19-3.43, 1 La 3.21
Cd: 0.1439 0.7500 0.1931 (multiplicity 2)  8 Cd 3.18-3.49
Cd: 0.1523 0.2500 0.7027 (multiplicity 2)  4 Nd 3.25-3.53, 3 La 3.30-3.43, 1 Cd 3.36
Cd: 0.2464 0.7500 0.4924 (multiplicity 2)  4 Nd 3.20-3.47, 3 La 3.24-3.51, 1 Cd 3.28
Cd: 0.3395 0.2500 0.2944 (multiplicity 2)  5 Nd 3.19-3.49, 1 La 3.19, 2 Cd 3.26
Cd: 0.4537 0.7500 0.0888 (multiplicity 2)  7 Nd 3.28-3.43, 3 Cd 3.49-3.60